1.
Below is NpFeCo2H8 after structural relaxation, with properties calculated at the PBE level.

a = 4.342 Å, b = 4.342 Å, c = 5.811 Å
α = 68.06°, β = 68.06°, γ = 60.00°
Last column: magnetic moment on the atom in μB.
Element x y z (fractional)
Np: 0.500 0.500 0.500  3.60
Fe: 0.000 0.000 0.000  1.49
Co: 0.298 0.298 0.106  0.54
Co: 0.702 0.702 0.894  0.54
H: 0.194 0.194 0.419  -0.01
H: 0.647 0.308 0.151  -0.01
H: 0.806 0.806 0.581  -0.01
H: 0.895 0.647 0.151  -0.01
H: 0.105 0.353 0.849  -0.01
H: 0.308 0.895 0.151  -0.01
H: 0.692 0.105 0.849  -0.01
H: 0.353 0.692 0.849  -0.01

Values from the calculation:
total DFT energy (no corrections): -5.220 eV per atom

---

2.
Below is Np2FeCo3H12 after structural relaxation, with properties calculated at the PBE level.

a = 5.728 Å, b = 5.728 Å, c = 5.728 Å
α = 59.41°, β = 59.41°, γ = 59.41°
Last column: magnetic moment on the atom in μB.
Element x y z (fractional)
Np: 0.620 0.620 0.620  4.08
Np: 0.380 0.380 0.380  4.08
Fe: 0.000 0.000 0.000  1.11
Co: 0.500 0.000 0.000  0.70
Co: 0.000 0.500 0.000  0.70
Co: 0.000 0.000 0.500  0.70
H: 0.337 0.337 0.874  -0.01
H: 0.901 0.901 0.354  -0.02
H: 0.354 0.901 0.901  -0.02
H: 0.874 0.337 0.337  -0.01
H: 0.901 0.354 0.901  -0.02
H: 0.337 0.874 0.337  -0.01
H: 0.663 0.663 0.126  -0.01
H: 0.099 0.099 0.646  -0.02
H: 0.646 0.099 0.099  -0.02
H: 0.126 0.663 0.663  -0.01
H: 0.099 0.646 0.099  -0.02
H: 0.663 0.126 0.663  -0.01

Values from the calculation:
total DFT energy (no corrections): -5.383 eV per atom